Material: Tm2Th2Sc
Method: DFT, PBE
State: optimized geometry

**Energy of formation**: 44 meV/atom
**Crystal system**: triclinic
**Total moment**: 0.00 μB/f.u.
**Energy above the most stable polymorph in this dataset**: 0 meV per atom
**Symmetry**: P-1 (2)

a b c (Å): 3.529 7.729 5.984
angles (deg): 96.26 72.65 76.81
Fractional positions:
Tm  0.794  0.610  0.801
Tm  0.206  0.390  0.199
Th  0.401  0.804  0.394
Th  0.599  0.196  0.606
Sc  0.000  0.000  0.000

Material: CaYHg3
Method: DFT, PBE
State: optimized geometry

**Energy of formation**: 279 meV/atom
**Crystal system**: cubic
**Total moment**: 0.00 μB/f.u.
**Energy above the most stable polymorph in this dataset**: 730 meV per atom
**Symmetry**: Pm-3m (221)

a b c (Å): 5.475 5.475 5.475
angles (deg): 90.00 90.00 90.00
Fractional positions:
Y  0.500  0.500  0.500
Ca  0.000  0.000  0.000
Hg  0.000  0.500  0.000
Hg  0.000  0.000  0.500
Hg  0.500  0.000  0.000

Material: TiAu
Method: DFT, PBE
State: optimized geometry

**Energy of formation**: -338 meV/atom
**Crystal system**: orthorhombic
**Total moment**: 0.69 μB/f.u.
**Symmetry**: Pnma (62)

a b c (Å): 10.893 4.523 5.636
angles (deg): 90.00 90.00 90.00
Fractional positions:
Ti  0.320  0.250  0.611
Ti  0.820  0.250  0.889
Ti  0.680  0.750  0.389
Ti  0.180  0.750  0.111
Ti  0.056  0.250  0.370
Ti  0.556  0.250  0.130
Ti  0.944  0.750  0.630
Ti  0.444  0.750  0.870
Au  0.309  0.250  0.113
Au  0.809  0.250  0.387
Au  0.691  0.750  0.887
Au  0.191  0.750  0.613
Au  0.075  0.250  0.866
Au  0.575  0.250  0.634
Au  0.925  0.750  0.134
Au  0.425  0.750  0.366

Material: Cs3Dy3ScTe8
Method: DFT, PBE
State: optimized geometry

**Crystal system**: trigonal
**Total moment**: 0.00 μB/f.u.
**Energy relative to the elements, uncorrected**: -19.34 eV/f.u.
**Symmetry**: R-3m (166)

a b c (Å): 8.759 8.760 10.548
angles (deg): 114.55 90.00 120.00
Fractional positions:
Cs  0.000  0.000  0.000
Cs  0.000  0.500  0.000
Cs  0.500  0.500  0.000
Dy  0.500  0.000  0.500
Dy  0.500  0.500  0.500
Dy  0.000  0.500  0.500
Sc  0.000  0.000  0.500
Te  0.269  0.538  0.308
Te  0.731  0.462  0.692
Te  0.776  0.553  0.314
Te  0.224  0.447  0.686
Te  0.776  0.037  0.314
Te  0.224  0.963  0.686
Te  0.261  0.037  0.314
Te  0.739  0.963  0.686

Material: Gd2ZnI
Method: DFT, PBE
State: optimized geometry

**Crystal system**: trigonal
**Total moment**: 14.52 μB/f.u.
**Energy above the most stable polymorph in this dataset**: 0 meV per atom
**Energy relative to the elements, uncorrected**: -2.10 eV/f.u.
**Symmetry**: R-3m (166)

a b c (Å): 4.180 4.180 8.092
angles (deg): 75.03 75.03 60.00
Fractional positions:
I  0.500  0.500  0.500
Zn  0.000  0.000  0.000
Gd  0.262  0.262  0.213
Gd  0.738  0.738  0.787

Material: Ti2MoC3
Method: DFT, PBE
State: optimized geometry

**Energy of formation**: -555 meV/atom
**Crystal system**: orthorhombic
**Total moment**: 0.00 μB/f.u.
**Symmetry**: Pnma (62)

a b c (Å): 4.346 6.134 9.219
angles (deg): 90.00 90.00 90.00
Fractional positions:
Ti  0.250  0.878  0.751
Ti  0.250  0.378  0.749
Ti  0.250  0.874  0.419
Ti  0.250  0.374  0.081
Ti  0.750  0.626  0.919
Ti  0.750  0.126  0.581
Ti  0.750  0.622  0.251
Ti  0.750  0.122  0.249
Mo  0.250  0.869  0.092
Mo  0.250  0.369  0.408
Mo  0.750  0.631  0.592
Mo  0.750  0.131  0.908
C  0.250  0.626  0.584
C  0.250  0.126  0.916
C  0.250  0.625  0.916
C  0.250  0.125  0.584
C  0.250  0.624  0.250
C  0.250  0.124  0.250
C  0.750  0.876  0.750
C  0.750  0.376  0.750
C  0.750  0.875  0.416
C  0.750  0.375  0.084
C  0.750  0.874  0.084
C  0.750  0.374  0.416

Material: EuLuMg2
Method: DFT, PBE
State: optimized geometry

**Energy of formation**: -29 meV/atom
**Crystal system**: cubic
**Total moment**: 7.68 μB/f.u.
**Energy above the most stable polymorph in this dataset**: 18 meV per atom
**Symmetry**: Fm-3m (225)

a b c (Å): 5.457 5.457 5.457
angles (deg): 60.00 60.00 60.00
Fractional positions:
Eu  0.500  0.500  0.500
Mg  0.250  0.250  0.250
Mg  0.750  0.750  0.750
Lu  0.000  0.000  0.000

Material: ZrHg2Ir
Method: DFT, PBE
State: optimized geometry

**Energy of formation**: 15 meV/atom
**Crystal system**: monoclinic
**Total moment**: 0.00 μB/f.u.
**Energy above the most stable polymorph in this dataset**: 202 meV per atom
**Symmetry**: P2/m (10)

a b c (Å): 5.197 3.370 4.653
angles (deg): 89.70 90.00 90.00
Fractional positions:
Hg  0.000  0.018  0.003
Hg  0.000  0.482  0.497
Ir  0.500  0.250  0.250
Zr  0.500  0.750  0.750